Record 1
# TbSmDy2Y5, optimized geometry, DFT PBE
# - N(E_F): 11.6 states/eV/f.u.
# - ΔH_f (0 K): 0.275 eV per atom
# - Volume: 1168 Å³/cell
data_TbSmDy2Y5
_chemical_formula_sum 'Tb4 Sm4 Dy8 Y20'
_cell_length_a 8.7216
_cell_length_b 8.7216
_cell_length_c 15.3542
_cell_angle_alpha 90.00
_cell_angle_beta 90.00
_cell_angle_gamma 90.00
_space_group_name_H-M_alt 'I 4/m c m'
_space_group_IT_number 140
_space_group_name_Hall '-I 4 2c'
loop_
_atom_site_label
_atom_site_fract_x
_atom_site_fract_y
_atom_site_fract_z
Tb1 0.0000 0.0000 0.2500
Sm1 0.0000 0.5000 0.2500
Dy1 0.1167 0.3833 0.0000
Y1 0.0000 0.0000 0.0000
Y2 0.2040 0.2960 0.3644


Record 2
# ScMn2HgBi, optimized geometry, DFT PBE
# - N(E_F): 6.3 states/eV/f.u.
# - ΔH_f (0 K): 0.896 eV per atom
# - Volume: 143 Å³/cell
data_ScMn2HgBi
_chemical_formula_sum 'Sc1 Mn2 Hg1 Bi1'
_cell_length_a 4.9700
_cell_length_b 4.9700
_cell_length_c 5.7728
_cell_angle_alpha 90.00
_cell_angle_beta 90.00
_cell_angle_gamma 90.00
_space_group_name_H-M_alt 'P 4/m m m'
_space_group_IT_number 123
_space_group_name_Hall '-P 4 2'
loop_
_atom_site_label
_atom_site_fract_x
_atom_site_fract_y
_atom_site_fract_z
Sc1 0.0000 0.0000 0.0000
Mn1 0.0000 0.5000 0.5000
Hg1 0.5000 0.5000 0.5000
Bi1 0.5000 0.5000 0.0000


Record 3
# LaSiAg2, optimized geometry, DFT PBE
# - Energy relative to the elements, uncorrected: -0.199 eV per atom
# - N(E_F): 2.6 states/eV/f.u.
# - Volume: 179 Å³/cell
data_LaSiAg2
_chemical_formula_sum 'La2 Si2 Ag4'
_cell_length_a 7.7785
_cell_length_b 4.4832
_cell_length_c 5.7365
_cell_angle_alpha 90.00
_cell_angle_beta 116.71
_cell_angle_gamma 90.00
_space_group_name_H-M_alt 'C 1 2/m 1'
_space_group_IT_number 12
_space_group_name_Hall '-C 2y'
loop_
_atom_site_label
_atom_site_fract_x
_atom_site_fract_y
_atom_site_fract_z
La1 0.0000 0.0000 0.0000
Si1 0.0000 0.5000 0.5000
Ag1 0.2116 0.0000 0.6353


Record 4
# SiTeW2, optimized geometry, DFT PBE
# - Energy relative to the elements, uncorrected: 0.362 eV per atom
# - N(E_F): 1.7 states/eV/f.u.
# - Relative energy among the computed polymorphs: 69 meV/atom
# - Volume: 68 Å³/cell
data_SiTeW2
_chemical_formula_sum 'Si1 Te1 W2'
_cell_length_a 3.2262
_cell_length_b 3.2262
_cell_length_c 6.5298
_cell_angle_alpha 90.00
_cell_angle_beta 90.00
_cell_angle_gamma 90.00
_space_group_name_H-M_alt 'P 4/m m m'
_space_group_IT_number 123
_space_group_name_Hall '-P 4 2'
loop_
_atom_site_label
_atom_site_fract_x
_atom_site_fract_y
_atom_site_fract_z
Si1 0.0000 0.0000 0.0000
Te1 0.0000 0.0000 0.5000
W1 0.5000 0.5000 0.2018


Record 5
# LiLaNpSe3, optimized geometry, DFT PBE
# - Energy relative to the elements, uncorrected: -1.444 eV per atom
# - N(E_F): 13.1 states/eV/f.u.
# - Volume: 306 Å³/cell
data_LiLaNpSe3
_chemical_formula_sum 'Li2 La2 Np2 Se6'
_cell_length_a 8.5549
_cell_length_b 4.0959
_cell_length_c 8.9762
_cell_angle_alpha 90.00
_cell_angle_beta 103.44
_cell_angle_gamma 90.00
_space_group_name_H-M_alt 'P 1 21/m 1'
_space_group_IT_number 11
_space_group_name_Hall '-P 2yb'
loop_
_atom_site_label
_atom_site_fract_x
_atom_site_fract_y
_atom_site_fract_z
Li1 0.0876 0.2500 0.0845
La1 0.1835 0.2500 0.7245
Np1 0.3362 0.7500 0.3410
Se1 0.0978 0.2500 0.3667
Se2 0.2182 0.7500 0.0011
Se3 0.4294 0.7500 0.6757


Record 6
# AcThI2, optimized geometry, DFT PBE
# - Energy relative to the elements, uncorrected: -0.586 eV per atom
# - N(E_F): 4.6 states/eV/f.u.
# - Volume: 456 Å³/cell
data_AcThI2
_chemical_formula_sum 'Ac3 Th3 I6'
_cell_length_a 3.9089
_cell_length_b 3.9089
_cell_length_c 34.4874
_cell_angle_alpha 90.00
_cell_angle_beta 90.00
_cell_angle_gamma 120.00
_space_group_name_H-M_alt 'R -3 m'
_space_group_IT_number 166
_space_group_name_Hall '-R 3 2"'
loop_
_atom_site_label
_atom_site_fract_x
_atom_site_fract_y
_atom_site_fract_z
Ac1 0.0000 0.0000 0.0000
Th1 0.0000 0.0000 0.5000
I1 0.0000 0.0000 0.4073


Record 7
# Y2MgScP, optimized geometry, DFT PBE
# - N(E_F): 6.3 states/eV/f.u.
# - ΔH_f (0 K): -0.528 eV per atom
# - Volume: 141 Å³/cell
data_Y2MgScP
_chemical_formula_sum 'Y2 Mg1 Sc1 P1'
_cell_length_a 5.3447
_cell_length_b 5.3447
_cell_length_c 4.9433
_cell_angle_alpha 90.00
_cell_angle_beta 90.00
_cell_angle_gamma 90.00
_space_group_name_H-M_alt 'P 4/m m m'
_space_group_IT_number 123
_space_group_name_Hall '-P 4 2'
loop_
_atom_site_label
_atom_site_fract_x
_atom_site_fract_y
_atom_site_fract_z
Y1 0.0000 0.5000 0.0000
Mg1 0.0000 0.0000 0.5000
Sc1 0.5000 0.5000 0.5000
P1 0.5000 0.5000 0.0000


Record 8
# UVAu, optimized geometry, DFT PBE
# - N(E_F): 5.0 states/eV/f.u.
# - ΔH_f (0 K): 0.113 eV per atom
# - Relative energy among the computed polymorphs: 0 meV/atom
# - Volume: 110 Å³/cell
data_UVAu
_chemical_formula_sum 'U2 V2 Au2'
_cell_length_a 2.9359
_cell_length_b 2.9359
_cell_length_c 12.7307
_cell_angle_alpha 90.00
_cell_angle_beta 90.00
_cell_angle_gamma 90.00
_space_group_name_H-M_alt 'I 4 m m'
_space_group_IT_number 107
_space_group_name_Hall 'I 4 -2'
loop_
_atom_site_label
_atom_site_fract_x
_atom_site_fract_y
_atom_site_fract_z
U1 0.0000 0.0000 0.0000
V1 0.0000 0.0000 0.3360
Au1 0.0000 0.0000 0.6942


What is the N(E_F) in the seventh record?
6.3 states/eV/f.u.


volume of number 6 (AcThI2)?
456 Å³/cell